# LaReTc2

A geometry-optimized LaReTc2 structure (PBE, Alexandria via LeMat-Bulk).

Cell: 2.8847 2.8847 9.2761 Å, 90.00 90.00 113.69°
Closest atoms and distances in Å follow each position.
Atoms (fractional coordinates):
La 0.5000 0.5000 0.2500  6 La 2.88-3.16, 4 Tc 3.04
Re 0.5000 0.5000 0.7500  4 Tc 2.58, 4 Re 2.88
Tc 0.0000 0.0000 0.9703  2 Re 2.58, 4 Tc 2.88
Tc 0.0000 0.0000 0.5297  2 Re 2.58, 4 Tc 2.88

Space group: Cmmm, No. 65
DFT formation energy (eV/atom): 0.51
D(E_F) (states/eV/f.u.): 4.85

---

# La2Re2Tc

A geometry-optimized La2Re2Tc structure (PBE, Alexandria via LeMat-Bulk).

Cell: 3.5473 3.5473 9.5625 Å, 79.31 79.31 90.00°
Closest atoms and distances in Å follow each position.
Atoms (fractional coordinates):
Re 0.7500 0.2500 0.5000  4 Re 2.51
Re 0.2500 0.7500 0.5000  4 Re 2.51
Tc 0.0000 0.0000 0.0000  8 La 3.09
La 0.4019 0.4019 0.1961  4 Tc 3.09, 4 Re 3.32
La 0.5981 0.5981 0.8039  4 Tc 3.09, 4 Re 3.32

Space group: I4/mmm, No. 139
DFT formation energy (eV/atom): 0.50
D(E_F) (states/eV/f.u.): 6.67

---

# LaRe2Tc

A geometry-optimized LaRe2Tc structure (PBE, Alexandria via LeMat-Bulk).

Cell: 3.1956 4.5610 4.9512 Å, 90.00 90.00 90.00°
Closest atoms and distances in Å follow each position.
Atoms (fractional coordinates):
La 0.0000 0.5000 0.5000  4 Tc 2.78, 4 Re 2.95
Re 0.0000 0.0000 0.0000  4 Re 2.78, 4 Tc 2.95
Re 0.5000 0.5000 0.0000  4 Re 2.78, 4 La 2.95
Tc 0.5000 0.0000 0.5000  4 La 2.78, 4 Re 2.95

Space group: Pmmm, No. 47
DFT formation energy (eV/atom): 0.68
D(E_F) (states/eV/f.u.): 5.53

---

# LaRe2Tc

A geometry-optimized LaRe2Tc structure (PBE, Alexandria via LeMat-Bulk).

Cell: 4.6513 4.6513 4.6513 Å, 60.00 60.00 60.00°
Closest atoms and distances in Å follow each position.
Atoms (fractional coordinates):
La 0.5000 0.5000 0.5000  4 Tc 2.85, 4 Re 2.85
Re 0.0000 0.0000 0.0000  4 Re 2.85, 4 Tc 2.85
Re 0.2500 0.2500 0.2500  4 La 2.85, 4 Re 2.85
Tc 0.7500 0.7500 0.7500  4 Re 2.85, 4 La 2.85

Space group: F-43m, No. 216
DFT formation energy (eV/atom): 0.55
D(E_F) (states/eV/f.u.): 3.50

---

# LaReTc2

A geometry-optimized LaReTc2 structure (PBE, Alexandria via LeMat-Bulk).

Cell: 10.5824 10.5824 10.5824 Å, 15.55 15.55 15.55°
Closest atoms and distances in Å follow each position.
Atoms (fractional coordinates):
La 0.2500 0.2500 0.2500  6 La 2.86
Re 0.7500 0.7500 0.7500  2 Tc 2.37
Tc 0.8257 0.8257 0.8257  1 Re 2.37
Tc 0.6743 0.6743 0.6743  1 Re 2.37

Space group: R-3m, No. 166
DFT formation energy (eV/atom): 0.91
D(E_F) (states/eV/f.u.): 5.52

---

# LaReTc2

A geometry-optimized LaReTc2 structure (PBE, Alexandria via LeMat-Bulk).

Cell: 2.9317 3.5156 7.3962 Å, 90.00 90.00 90.00°
Closest atoms and distances in Å follow each position.
Atoms (fractional coordinates):
La 0.0000 0.0000 0.5014  2 La 2.93, 4 Re 3.28
Re 0.5000 0.5000 0.8188  5 Tc 2.65-2.67, 2 Re 2.93
Tc 0.0000 0.0000 0.9996  6 Tc 2.65-2.93, 4 Re 2.65
Tc 0.5000 0.5000 0.1803  6 Tc 2.65-2.93, 1 Re 2.67

Space group: Pmm2, No. 25
DFT formation energy (eV/atom): 0.39
D(E_F) (states/eV/f.u.): 4.54

---

# LaReTc2

A geometry-optimized LaReTc2 structure (PBE, Alexandria via LeMat-Bulk).

Cell: 10.0740 10.0740 10.0740 Å, 16.34 16.34 16.34°
Closest atoms and distances in Å follow each position.
Atoms (fractional coordinates):
La 0.5005 0.5005 0.5005  6 La 2.86
Re 0.7381 0.7381 0.7381  3 Tc 2.71, 6 Re 2.86
Tc 0.9995 0.9995 0.9995  9 Tc 2.69-2.86, 3 Re 2.71
Tc 0.2618 0.2618 0.2618  9 Tc 2.69-2.86

Space group: R3m, No. 160
DFT formation energy (eV/atom): 0.55
D(E_F) (states/eV/f.u.): 4.68

---

# LaReTc2

A geometry-optimized LaReTc2 structure (PBE, Alexandria via LeMat-Bulk).

Cell: 3.1286 3.1286 7.6473 Å, 90.00 90.00 90.00°
Closest atoms and distances in Å follow each position.
Atoms (fractional coordinates):
La 0.5000 0.5000 0.2500  4 La 3.13, 8 Tc 3.23
Re 0.5000 0.5000 0.7500  8 Tc 2.65
Tc 0.0000 0.0000 0.9417  4 Re 2.65, 1 Tc 2.93
Tc 0.0000 0.0000 0.5583  4 Re 2.65, 1 Tc 2.93

Space group: P4/mmm, No. 123
DFT formation energy (eV/atom): 0.29
D(E_F) (states/eV/f.u.): 7.42

---

# LaRe2Tc

A geometry-optimized LaRe2Tc structure (PBE, Alexandria via LeMat-Bulk).

Cell: 5.5186 5.3359 2.8348 Å, 78.08 80.97 115.49°
Closest atoms and distances in Å follow each position.
Atoms (fractional coordinates):
La 0.5000 0.0000 0.5000  2 Tc 2.75, 2 La 2.83, 4 Re 2.90
Re 0.0000 0.0000 0.0000  4 Re 2.75-2.83, 2 La 2.90, 2 Tc 2.90
Re 0.0000 0.5000 0.5000  4 Re 2.75-2.83, 2 Tc 2.90, 2 La 2.90
Tc 0.5000 0.5000 0.0000  2 La 2.75, 2 Tc 2.83, 4 Re 2.90

Space group: C2/m, No. 12
DFT formation energy (eV/atom): 0.66
D(E_F) (states/eV/f.u.): 5.20

---

# LaReTc2

A geometry-optimized LaReTc2 structure (PBE, Alexandria via LeMat-Bulk).

Cell: 2.8544 2.8544 9.4813 Å, 90.00 90.00 114.04°
Closest atoms and distances in Å follow each position.
Atoms (fractional coordinates):
La 0.0000 0.0000 0.4975  6 La 2.85-3.11, 2 Tc 3.05, 2 Re 3.10
Re 0.5000 0.5000 0.7809  2 Tc 2.60, 4 Re 2.85
Tc 0.0000 0.0000 0.0014  6 Tc 2.59-2.85, 2 Re 2.60
Tc 0.5000 0.5000 0.2203  6 Tc 2.59-2.85

Space group: Cmm2, No. 35
DFT formation energy (eV/atom): 0.56
D(E_F) (states/eV/f.u.): 5.52

---

# LaReTc2

A geometry-optimized LaReTc2 structure (PBE, Alexandria via LeMat-Bulk).

Cell: 4.1730 2.9130 6.2903 Å, 81.79 90.00 90.00°
Closest atoms and distances in Å follow each position.
Atoms (fractional coordinates):
La 0.5000 0.2500 0.2500  2 La 2.91, 4 Tc 3.01
Re 0.5000 0.7500 0.7500  4 Tc 2.57
Tc 0.0000 0.0205 0.9363  1 Tc 2.53, 2 Re 2.57
Tc 0.0000 0.4795 0.5637  1 Tc 2.53, 2 Re 2.57

Space group: P2/m, No. 10
DFT formation energy (eV/atom): 0.41
D(E_F) (states/eV/f.u.): 5.02

---

# LaReTc2

A geometry-optimized LaReTc2 structure (PBE, Alexandria via LeMat-Bulk).

Cell: 4.6464 4.6464 4.6464 Å, 120.06 120.06 89.90°
Closest atoms and distances in Å follow each position.
Atoms (fractional coordinates):
La 0.5000 0.5000 0.0000  4 Tc 2.84, 4 Re 2.84
Re 0.7500 0.2500 0.5000  4 La 2.84, 4 Tc 2.84
Tc 0.0000 0.0000 0.0000  4 Re 2.84, 4 Tc 2.84
Tc 0.2500 0.7500 0.5000  4 La 2.84, 4 Tc 2.84

Space group: F-43m, No. 216
DFT formation energy (eV/atom): 0.55
D(E_F) (states/eV/f.u.): 3.76

---

# LaRe2Tc

A geometry-optimized LaRe2Tc structure (PBE, Alexandria via LeMat-Bulk).

Cell: 4.6512 4.6512 4.6512 Å, 60.00 60.00 60.00°
Closest atoms and distances in Å follow each position.
Atoms (fractional coordinates):
Re 0.2500 0.2500 0.2500  4 La 2.85, 4 Tc 2.85
Re 0.7500 0.7500 0.7500  4 La 2.85, 4 Tc 2.85
Tc 0.0000 0.0000 0.0000  8 Re 2.85
La 0.5000 0.5000 0.5000  8 Re 2.85

Space group: Fm-3m, No. 225
DFT formation energy (eV/atom): 0.67
D(E_F) (states/eV/f.u.): 3.56

---

# LaRe2Tc

A geometry-optimized LaRe2Tc structure (PBE, Alexandria via LeMat-Bulk).

Cell: 10.2400 10.2400 10.2400 Å, 15.96 15.96 15.96°
Closest atoms and distances in Å follow each position.
Atoms (fractional coordinates):
La 0.7500 0.7500 0.7500  6 La 2.84
Re 0.9881 0.9881 0.9881  3 Tc 2.72, 6 Re 2.84
Re 0.5119 0.5119 0.5119  3 Tc 2.72, 6 Re 2.84
Tc 0.2500 0.2500 0.2500  6 Re 2.72, 6 Tc 2.84

Space group: R-3m, No. 166
DFT formation energy (eV/atom): 0.55
D(E_F) (states/eV/f.u.): 3.68

---

# LaRe2Tc

A geometry-optimized LaRe2Tc structure (PBE, Alexandria via LeMat-Bulk).

Cell: 5.0533 3.8081 3.8081 Å, 90.00 90.00 90.00°
Closest atoms and distances in Å follow each position.
Atoms (fractional coordinates):
La 0.5000 0.0000 0.5000  4 Tc 2.69
Re 0.0000 0.0000 0.0000  4 Re 2.69
Re 0.0000 0.5000 0.5000  4 Re 2.69
Tc 0.5000 0.5000 0.0000  4 La 2.69

Space group: P4/mmm, No. 123
DFT formation energy (eV/atom): 0.85
D(E_F) (states/eV/f.u.): 6.07

---

# LaReTc2

A geometry-optimized LaReTc2 structure (PBE, Alexandria via LeMat-Bulk).

Cell: 3.2151 4.9704 4.5134 Å, 90.00 90.00 90.00°
Closest atoms and distances in Å follow each position.
Atoms (fractional coordinates):
La 0.5000 0.0000 0.5000  4 Tc 2.77, 4 Re 2.96
Re 0.0000 0.5000 0.5000  4 Tc 2.77, 4 La 2.96
Tc 0.0000 0.0000 0.0000  4 La 2.77, 4 Tc 2.96
Tc 0.5000 0.5000 0.0000  4 Re 2.77, 4 Tc 2.96

Space group: Pmmm, No. 47
DFT formation energy (eV/atom): 0.68
D(E_F) (states/eV/f.u.): 6.07

---

# LaReTc2

A geometry-optimized LaReTc2 structure (PBE, Alexandria via LeMat-Bulk).

Cell: 7.3817 7.3817 6.0458 Å, 52.38 52.38 90.00°
Closest atoms and distances in Å follow each position.
Atoms (fractional coordinates):
Re 0.0000 0.0000 0.0000  4 Tc 2.45
Re 0.7500 0.2500 0.5000  4 Tc 2.45
Tc 0.6834 0.1250 0.2500  2 Re 2.45
Tc 0.0666 0.6250 0.2500  2 Re 2.45
Tc 0.3750 0.3166 0.7500  2 Re 2.45
Tc 0.8750 0.9334 0.7500  2 Re 2.45
La 0.5000 0.5000 0.0000  8 Tc 3.03-3.26, 2 Re 3.05
La 0.2500 0.7500 0.5000  8 Tc 3.03-3.26, 2 Re 3.05

Space group: I-42d, No. 122
DFT formation energy (eV/atom): 0.66
D(E_F) (states/eV/f.u.): 2.86

---

# La2Re2Tc

A geometry-optimized La2Re2Tc structure (PBE, Alexandria via LeMat-Bulk).

Cell: 6.6147 6.6147 5.1231 Å, 90.00 90.00 90.00°
Closest atoms and distances in Å follow each position.
Atoms (fractional coordinates):
Re 0.3696 0.8696 0.0000  1 Re 2.44, 2 Tc 2.59
Re 0.8696 0.6304 0.0000  1 Re 2.44, 2 Tc 2.59
Re 0.6304 0.1304 0.0000  1 Re 2.44, 2 Tc 2.59
Re 0.1304 0.3696 0.0000  1 Re 2.44, 2 Tc 2.59
Tc 0.0000 0.0000 0.0000  4 Re 2.59
Tc 0.5000 0.5000 0.0000  4 Re 2.59
La 0.1799 0.6799 0.5000  6 Re 3.12-3.30, 5 La 3.37-3.43
La 0.6799 0.8201 0.5000  6 Re 3.12-3.30, 5 La 3.37-3.43
La 0.8201 0.3201 0.5000  6 Re 3.12-3.30, 5 La 3.37-3.43
La 0.3201 0.1799 0.5000  6 Re 3.12-3.30, 5 La 3.37-3.43

Space group: P4/mbm, No. 127
DFT formation energy (eV/atom): 0.27
D(E_F) (states/eV/f.u.): 7.01

---

# LaReTe

A geometry-optimized LaReTe structure (PBE, Alexandria via LeMat-Bulk).

Cell: 4.7693 4.7693 4.7693 Å, 60.00 60.00 60.00°
Closest atoms and distances in Å follow each position.
Atoms (fractional coordinates):
La 0.5000 0.5000 0.5000  4 Re 2.92
Re 0.7500 0.7500 0.7500  4 La 2.92, 4 Te 2.92
Te 0.0000 0.0000 0.0000  4 Re 2.92

Space group: F-43m, No. 216
ΔE_f (raw) (eV per atom): 0.1681
D(E_F) (states/eV/f.u.): 5.04

---

# LaRe3Te

A geometry-optimized LaRe3Te structure (PBE, Alexandria via LeMat-Bulk).

Cell: 4.9055 4.9055 4.9055 Å, 90.00 90.00 90.00°
Closest atoms and distances in Å follow each position.
Atoms (fractional coordinates):
Re 0.0000 0.5000 0.0000  2 Te 2.45
Re 0.0000 0.0000 0.5000  2 Te 2.45
Re 0.5000 0.0000 0.0000  2 Te 2.45
Te 0.0000 0.0000 0.0000  6 Re 2.45
La 0.5000 0.5000 0.5000  12 Re 3.47

Space group: Pm-3m, No. 221
ΔE_f (raw) (eV per atom): 1.6751
D(E_F) (states/eV/f.u.): 5.18